The following is a PBE-GGA calculation of crystalline Pm2Tm2Th15 at its relaxed geometry, from Alexandria.

Computed properties:
ΔH_f (0 K) ... 0.2752 eV/atom
V ... 34.29 Å³ per atom
VASP energy ... -124.51 eV per cell

Cell: 8.7531 8.7531 8.7531 Å, 81.71 81.71 81.71°
Sites, in units of the cell vectors:
1 Tm 0.0983 0.0983 0.0983
2 Tm 0.9017 0.9017 0.9017
3 Th 0.1585 0.6445 0.6445
4 Th 0.7036 0.2964 0.0000
5 Th 0.2964 0.7036 0.0000
6 Th 0.3555 0.3555 0.8415
7 Th 0.0000 0.2964 0.7036
8 Th 0.2964 0.0000 0.7036
9 Th 0.0000 0.5000 0.0000
10 Th 0.6445 0.6445 0.1585
11 Th 0.8415 0.3555 0.3555
12 Th 0.3555 0.8415 0.3555
13 Th 0.5000 0.0000 0.0000
14 Th 0.0000 0.7036 0.2964
15 Th 0.6445 0.1585 0.6445
16 Th 0.7036 0.0000 0.2964
17 Th 0.0000 0.0000 0.5000
18 Pm 0.3214 0.3214 0.3214
19 Pm 0.6786 0.6786 0.6786